Record 1
{
  "formula": "LaPbSe2",
  "functional": "PBE-GGA",
  "state": "optimized geometry",
  "raw_formation_energy_ev_per_fu": -2.041,
  "e_tot_ev_per_fu": -17.646,
  "magmom_total_mub_per_fu": 0.00,
  "lattice_angstrom": [[7.554, 0.000, 0.000], [0.000, 7.554, 0.000], [0.000, 0.000, 7.554]],
  "species": ["La", "La", "La", "La", "Pb", "Pb", "Pb", "Pb", "Se", "Se", "Se", "Se", "Se", "Se", "Se", "Se"],
  "fractional_positions": [[0.000, 0.000, 0.000], [0.000, 0.500, 0.500], [0.500, 0.000, 0.500], [0.500, 0.500, 0.000], [0.250, 0.250, 0.250], [0.250, 0.750, 0.750], [0.750, 0.250, 0.750], [0.750, 0.750, 0.250], [0.000, 0.000, 0.500], [0.000, 0.500, 0.000], [0.250, 0.250, 0.750], [0.250, 0.750, 0.250], [0.500, 0.000, 0.000], [0.500, 0.500, 0.500], [0.750, 0.250, 0.250], [0.750, 0.750, 0.750]]
}



Record 2
{
  "formula": "K3Pr3ScSe8",
  "functional": "PBE-GGA",
  "state": "optimized geometry",
  "raw_formation_energy_ev_per_fu": -24.236,
  "e_tot_ev_per_fu": -76.074,
  "magmom_total_mub_per_fu": 0.00,
  "lattice_angstrom": [[7.390, -4.262, 0.000], [7.390, 4.262, 0.000], [-4.931, 0.000, 7.861]],
  "species": ["K", "K", "K", "Pr", "Pr", "Pr", "Sc", "Se", "Se", "Se", "Se", "Se", "Se", "Se", "Se"],
  "fractional_positions": [[0.000, 0.000, 0.000], [0.000, 0.500, 0.000], [0.500, 0.000, 0.000], [0.000, 0.500, 0.500], [0.500, 0.000, 0.500], [0.500, 0.500, 0.500], [0.000, 0.000, 0.500], [0.222, 0.222, 0.699], [0.222, 0.756, 0.699], [0.244, 0.778, 0.301], [0.262, 0.262, 0.285], [0.738, 0.738, 0.715], [0.756, 0.222, 0.699], [0.778, 0.244, 0.301], [0.778, 0.778, 0.301]]
}



Record 3
{
  "formula": "Ho3LuRh",
  "functional": "PBE-GGA",
  "state": "optimized geometry",
  "e_tot_ev_per_fu": -26.599,
  "magmom_total_mub_per_fu": 0.00,
  "formation_enthalpy_0k_ev_per_fu": -1.0,
  "lattice_angstrom": [[5.364, 0.000, 0.000], [0.000, 5.364, 0.000], [0.000, 0.000, 5.364]],
  "species": ["Ho", "Ho", "Ho", "Lu", "Rh"],
  "fractional_positions": [[0.000, 0.000, 0.500], [0.000, 0.500, 0.000], [0.500, 0.000, 0.000], [0.500, 0.500, 0.500], [0.000, 0.000, 0.000]]
}



Record 4
{
  "formula": "Ac3AgPb3",
  "functional": "PBE-GGA",
  "state": "optimized geometry",
  "e_tot_ev_per_fu": -29.690,
  "magmom_total_mub_per_fu": 0.00,
  "formation_enthalpy_0k_ev_per_fu": -3.4,
  "lattice_angstrom": [[6.228, -2.489, 0.000], [6.228, 2.489, 0.000], [-5.460, 0.000, 15.408]],
  "species": ["Ac", "Ac", "Ac", "Ac", "Ac", "Ac", "Ag", "Ag", "Pb", "Pb", "Pb", "Pb", "Pb", "Pb"],
  "fractional_positions": [[0.035, 0.035, 0.385], [0.096, 0.096, 0.921], [0.242, 0.242, 0.230], [0.758, 0.758, 0.770], [0.904, 0.904, 0.079], [0.965, 0.965, 0.615], [0.262, 0.262, 0.611], [0.738, 0.738, 0.389], [0.358, 0.358, 0.457], [0.371, 0.371, 0.924], [0.473, 0.473, 0.766], [0.527, 0.527, 0.234], [0.629, 0.629, 0.076], [0.642, 0.642, 0.543]]
}



Record 5
{
  "formula": "Al2CdCu",
  "functional": "PBE-GGA",
  "state": "optimized geometry",
  "e_tot_ev_per_fu": -11.731,
  "magmom_total_mub_per_fu": 0.00,
  "formation_enthalpy_0k_ev_per_fu": 0.8,
  "lattice_angstrom": [[6.520, 0.000, 0.000], [0.000, 6.520, 0.000], [0.000, 0.000, 6.520]],
  "species": ["Al", "Al", "Al", "Al", "Al", "Al", "Al", "Al", "Cd", "Cd", "Cd", "Cd", "Cu", "Cu", "Cu", "Cu"],
  "fractional_positions": [[0.000, 0.000, 0.000], [0.000, 0.500, 0.500], [0.250, 0.250, 0.250], [0.250, 0.750, 0.750], [0.500, 0.000, 0.500], [0.500, 0.500, 0.000], [0.750, 0.250, 0.750], [0.750, 0.750, 0.250], [0.000, 0.000, 0.500], [0.000, 0.500, 0.000], [0.500, 0.000, 0.000], [0.500, 0.500, 0.500], [0.250, 0.250, 0.750], [0.250, 0.750, 0.250], [0.750, 0.250, 0.250], [0.750, 0.750, 0.750]]
}



Record 6
{
  "formula": "CePdPb",
  "functional": "PBE-GGA",
  "state": "optimized geometry",
  "e_tot_ev_per_fu": -16.625,
  "magmom_total_mub_per_fu": 0.97,
  "formation_enthalpy_0k_ev_per_fu": -1.8,
  "lattice_angstrom": [[4.857, 0.000, 0.000], [-2.429, 4.207, 0.000], [0.000, 0.000, 14.353]],
  "species": ["Ce", "Ce", "Ce", "Ce", "Pd", "Pd", "Pd", "Pd", "Pb", "Pb", "Pb", "Pb"],
  "fractional_positions": [[0.000, 0.000, 0.000], [0.000, 0.000, 0.250], [0.000, 0.000, 0.500], [0.000, 0.000, 0.750], [0.333, 0.667, 0.112], [0.333, 0.667, 0.388], [0.667, 0.333, 0.612], [0.667, 0.333, 0.888], [0.333, 0.667, 0.627], [0.333, 0.667, 0.873], [0.667, 0.333, 0.127], [0.667, 0.333, 0.373]]
}



Record 7
{
  "formula": "Rb2Sr2Cu",
  "functional": "PBE-GGA",
  "state": "optimized geometry",
  "e_tot_ev_per_fu": -8.243,
  "magmom_total_mub_per_fu": 0.00,
  "formation_enthalpy_0k_ev_per_fu": 1.2,
  "lattice_angstrom": [[8.452, 0.000, 0.000], [0.000, 8.452, 0.000], [0.000, 0.000, 7.840]],
  "species": ["Rb", "Rb", "Rb", "Rb", "Sr", "Sr", "Sr", "Sr", "Cu", "Cu"],
  "fractional_positions": [[0.179, 0.321, 0.000], [0.321, 0.821, 0.000], [0.679, 0.179, 0.000], [0.821, 0.679, 0.000], [0.179, 0.679, 0.500], [0.321, 0.179, 0.500], [0.679, 0.821, 0.500], [0.821, 0.321, 0.500], [0.000, 0.000, 0.500], [0.500, 0.500, 0.500]]
}



Record 8
{
  "formula": "Zr2IrRh",
  "functional": "PBE-GGA",
  "state": "optimized geometry",
  "e_tot_ev_per_fu": -36.448,
  "magmom_total_mub_per_fu": 0.00,
  "formation_enthalpy_0k_ev_per_fu": -3.1,
  "lattice_angstrom": [[6.193, 0.000, 0.000], [0.000, 9.892, 0.000], [0.000, 0.000, 4.715]],
  "species": ["Zr", "Zr", "Zr", "Zr", "Zr", "Zr", "Zr", "Zr", "Ir", "Ir", "Ir", "Ir", "Rh", "Rh", "Rh", "Rh"],
  "fractional_positions": [[0.250, 0.134, 0.250], [0.250, 0.366, 0.750], [0.250, 0.634, 0.250], [0.250, 0.866, 0.750], [0.750, 0.134, 0.250], [0.750, 0.366, 0.750], [0.750, 0.634, 0.250], [0.750, 0.866, 0.750], [0.000, 0.111, 0.750], [0.000, 0.889, 0.250], [0.500, 0.389, 0.250], [0.500, 0.611, 0.750], [0.000, 0.397, 0.250], [0.000, 0.603, 0.750], [0.500, 0.103, 0.750], [0.500, 0.897, 0.250]]
}



Record 9
{
  "formula": "Rb2LiH6Pd",
  "functional": "PBE-GGA",
  "state": "optimized geometry",
  "e_tot_ev_per_fu": -31.407,
  "magmom_total_mub_per_fu": 0.00,
  "lattice_angstrom": [[5.983, 0.000, 0.000], [-2.991, 5.181, 0.000], [0.000, 0.000, 5.009]],
  "species": ["Rb", "Rb", "Li", "H", "H", "H", "H", "H", "H", "Pd"],
  "fractional_positions": [[0.333, 0.667, 0.243], [0.667, 0.333, 0.757], [0.000, 0.000, 0.500], [0.133, 0.265, 0.795], [0.133, 0.867, 0.795], [0.265, 0.133, 0.205], [0.735, 0.867, 0.795], [0.867, 0.133, 0.205], [0.867, 0.735, 0.205], [0.000, 0.000, 0.000]]
}



Record 10
{
  "formula": "SnSb2Au",
  "functional": "PBE-GGA",
  "state": "optimized geometry",
  "raw_formation_energy_ev_per_fu": 0.537,
  "e_tot_ev_per_fu": -14.988,
  "magmom_total_mub_per_fu": 0.00,
  "lattice_angstrom": [[3.315, 0.000, 0.000], [-1.658, 2.871, 0.000], [0.000, 0.000, 32.898]],
  "species": ["Sn", "Sn", "Sn", "Sb", "Sb", "Sb", "Sb", "Sb", "Sb", "Au", "Au", "Au"],
  "fractional_positions": [[0.000, 0.000, 0.000], [0.333, 0.667, 0.667], [0.667, 0.333, 0.333], [0.000, 0.000, 0.096], [0.000, 0.000, 0.904], [0.333, 0.667, 0.571], [0.333, 0.667, 0.763], [0.667, 0.333, 0.237], [0.667, 0.333, 0.429], [0.000, 0.000, 0.500], [0.333, 0.667, 0.167], [0.667, 0.333, 0.833]]
}



Record 11
{
  "formula": "Y2MgSn4",
  "functional": "PBE-GGA",
  "state": "optimized geometry",
  "e_tot_ev_per_fu": -33.129,
  "magmom_total_mub_per_fu": 0.00,
  "formation_enthalpy_0k_ev_per_fu": -2.6,
  "lattice_angstrom": [[4.399, 0.000, 0.000], [0.000, 4.399, 0.000], [0.000, 0.000, 9.972]],
  "species": ["Y", "Y", "Mg", "Sn", "Sn", "Sn", "Sn"],
  "fractional_positions": [[0.000, 0.500, 0.249], [0.500, 0.000, 0.751], [0.000, 0.000, 0.500], [0.000, 0.000, 0.000], [0.000, 0.500, 0.692], [0.500, 0.000, 0.308], [0.500, 0.500, 0.000]]
}



Record 12
{
  "formula": "IBr4",
  "functional": "PBE-GGA",
  "state": "optimized geometry",
  "raw_formation_energy_ev_per_fu": 1.722,
  "e_tot_ev_per_fu": -6.519,
  "magmom_total_mub_per_fu": 0.96,
  "lattice_angstrom": [[5.695, 0.000, 0.000], [0.000, 5.695, 0.000], [0.000, 0.000, 5.695]],
  "species": ["I", "Br", "Br", "Br", "Br"],
  "fractional_positions": [[0.000, 0.000, 0.000], [0.000, 0.000, 0.500], [0.000, 0.500, 0.000], [0.500, 0.000, 0.000], [0.500, 0.500, 0.500]]
}



Record 13
{
  "formula": "Ac8P3RhI4",
  "functional": "PBE-GGA",
  "state": "optimized geometry",
  "raw_formation_energy_ev_per_fu": -19.222,
  "e_tot_ev_per_fu": -81.871,
  "magmom_total_mub_per_fu": 0.00,
  "lattice_angstrom": [[4.471, 2.581, 8.156], [-4.471, 2.581, 8.156], [0.000, -5.163, 8.156]],
  "species": ["Ac", "Ac", "Ac", "Ac", "Ac", "Ac", "Ac", "Ac", "P", "P", "P", "Rh", "I", "I", "I", "I"],
  "fractional_positions": [[0.232, 0.232, 0.232], [0.238, 0.727, 0.727], [0.273, 0.273, 0.762], [0.273, 0.762, 0.273], [0.727, 0.238, 0.727], [0.727, 0.727, 0.238], [0.762, 0.273, 0.273], [0.768, 0.768, 0.768], [0.000, 0.000, 0.500], [0.000, 0.500, 0.000], [0.500, 0.000, 0.000], [0.500, 0.500, 0.500], [0.000, 0.000, 0.000], [0.000, 0.500, 0.500], [0.500, 0.000, 0.500], [0.500, 0.500, 0.000]]
}